# 1
Material: PuV2Ge
Method: DFT, PBE-GGA
State: optimized geometry

abc: 4.4543 4.4543 4.4543
angles: 60.00 60.00 60.00
Positions (direct):
1 Pu 0.0000 0.0000 0.0000
2 V 0.2500 0.2500 0.2500
3 V 0.7500 0.7500 0.7500
4 Ge 0.5000 0.5000 0.5000

Formation enthalpy at 0 K = -0.0317 eV per atom
Energy relative to the lowest polymorph listed for this composition = 3 meV per atom

# 2
Material: PuVGe2
Method: DFT, PBE-GGA
State: optimized geometry

abc: 2.8071 3.8144 7.3995
angles: 75.35 87.98 89.93
Positions (direct):
1 Pu 0.0000 0.0000 0.0000
2 V 0.9690 0.2188 0.5547
3 Ge 0.4768 0.6421 0.7107
4 Ge 0.4829 0.3715 0.2618

Formation enthalpy at 0 K = -0.1417 eV per atom
Energy relative to the lowest polymorph listed for this composition = 92 meV per atom

# 3
Material: Pu5VGe4
Method: DFT, PBE-GGA
State: optimized geometry

abc: 7.3771 7.3771 6.8847
angles: 104.92 104.92 33.00
Positions (direct):
1 Pu 0.0000 0.0000 0.0000
2 Pu 0.2736 0.2736 0.8520
3 Pu 0.3359 0.3359 0.2296
4 Pu 0.6641 0.6641 0.7704
5 Pu 0.7264 0.7264 0.1480
6 V 0.0000 0.0000 0.5000
7 Ge 0.1715 0.1715 0.4237
8 Ge 0.4537 0.4537 0.6895
9 Ge 0.5463 0.5463 0.3105
10 Ge 0.8285 0.8285 0.5763

Formation enthalpy at 0 K = -0.1186 eV per atom

# 4
Material: PuV4Ge4
Method: DFT, PBE-GGA
State: optimized geometry

abc: 8.2188 8.2188 4.6416
angles: 90.00 90.00 90.00
Positions (direct):
1 Pu 0.2500 0.2500 0.2500
2 Pu 0.7500 0.7500 0.7500
3 V 0.1412 0.8434 0.7047
4 V 0.1566 0.6412 0.2047
5 V 0.3434 0.8588 0.2047
6 V 0.3588 0.6566 0.7047
7 V 0.6412 0.3434 0.2953
8 V 0.6566 0.1412 0.7953
9 V 0.8434 0.3588 0.7953
10 V 0.8588 0.1566 0.2953
11 Ge 0.0085 0.8946 0.2117
12 Ge 0.1054 0.5085 0.7117
13 Ge 0.3946 0.9915 0.7117
14 Ge 0.4915 0.6054 0.2117
15 Ge 0.5085 0.3946 0.7883
16 Ge 0.6054 0.0085 0.2883
17 Ge 0.8946 0.4915 0.2883
18 Ge 0.9915 0.1054 0.7883

Formation enthalpy at 0 K = -0.1468 eV per atom

# 5
Material: Pu2VGe
Method: DFT, PBE-GGA
State: optimized geometry

abc: 3.5723 3.5723 5.0143
angles: 90.00 90.00 90.00
Positions (direct):
1 Pu 0.0000 0.5000 0.0000
2 Pu 0.5000 0.0000 0.0000
3 V 0.0000 0.0000 0.5000
4 Ge 0.5000 0.5000 0.5000

Formation enthalpy at 0 K = 0.1310 eV per atom
Energy relative to the lowest polymorph listed for this composition = 25 meV per atom

# 6
Material: PuVGe2
Method: DFT, PBE-GGA
State: optimized geometry

abc: 3.3445 3.3445 6.4111
angles: 90.00 90.00 90.00
Positions (direct):
1 Pu 0.0000 0.0000 0.0000
2 V 0.0000 0.0000 0.5000
3 Ge 0.5000 0.5000 0.3006
4 Ge 0.5000 0.5000 0.6994

Formation enthalpy at 0 K = -0.2340 eV per atom
Energy relative to the lowest polymorph listed for this composition = 0 meV per atom

# 7
Material: Pu2VGe
Method: DFT, PBE-GGA
State: optimized geometry

abc: 4.9130 4.9130 4.9130
angles: 60.00 60.00 60.00
Positions (direct):
1 Pu 0.2500 0.2500 0.2500
2 Pu 0.7500 0.7500 0.7500
3 V 0.0000 0.0000 0.0000
4 Ge 0.5000 0.5000 0.5000

Formation enthalpy at 0 K = 0.1060 eV per atom
Energy relative to the lowest polymorph listed for this composition = 0 meV per atom

# 8
Material: PuV2Ge
Method: DFT, PBE-GGA
State: optimized geometry

abc: 4.2426 4.2426 3.4961
angles: 90.00 90.00 90.00
Positions (direct):
1 Pu 0.0000 0.0000 0.0000
2 V 0.0000 0.5000 0.5000
3 V 0.5000 0.0000 0.5000
4 Ge 0.5000 0.5000 0.0000

Formation enthalpy at 0 K = -0.0347 eV per atom
Energy relative to the lowest polymorph listed for this composition = 0 meV per atom

# 9
Material: YPuGe4
Method: DFT, PBE-GGA
State: optimized geometry

abc: 5.5929 5.5929 5.5929
angles: 60.00 60.00 60.00
Positions (direct):
1 Y 0.0000 0.0000 0.0000
2 Pu 0.7500 0.7500 0.7500
3 Ge 0.3753 0.3753 0.3753
4 Ge 0.3753 0.3753 0.8740
5 Ge 0.3753 0.8740 0.3753
6 Ge 0.8740 0.3753 0.3753

Formation enthalpy at 0 K = -0.3184 eV per atom
Energy relative to the lowest polymorph listed for this composition = 173 meV per atom

# 10
Material: Y2PuGe4
Method: DFT, PBE-GGA
State: optimized geometry

abc: 9.6373 9.6373 9.6373
angles: 156.06 154.26 35.44
Positions (direct):
1 Y 0.1819 0.1819 0.0000
2 Y 0.8181 0.8181 0.0000
3 Pu 0.0000 0.5000 0.5000
4 Ge 0.3426 0.3426 0.0000
5 Ge 0.4325 0.9325 0.5000
6 Ge 0.5675 0.0675 0.5000
7 Ge 0.6574 0.6574 0.0000

Formation enthalpy at 0 K = -0.6392 eV per atom

# 11
Material: YPuGe
Method: DFT, PBE-GGA
State: optimized geometry

abc: 4.1724 4.1724 8.3713
angles: 90.00 90.00 90.00
Positions (direct):
1 Y 0.2500 0.2500 0.1423
2 Y 0.7500 0.7500 0.8577
3 Pu 0.2500 0.7500 0.5000
4 Pu 0.7500 0.2500 0.5000
5 Ge 0.2500 0.2500 0.7785
6 Ge 0.7500 0.7500 0.2215

Formation enthalpy at 0 K = -0.5729 eV per atom
Energy relative to the lowest polymorph listed for this composition = 0 meV per atom

# 12
Material: Y2PuGe
Method: DFT, PBE-GGA
State: optimized geometry

abc: 10.1990 10.1990 10.1990
angles: 20.38 20.38 20.38
Positions (direct):
1 Y 0.2363 0.2363 0.2363
2 Y 0.7637 0.7637 0.7637
3 Pu 0.0000 0.0000 0.0000
4 Ge 0.5000 0.5000 0.5000

Formation enthalpy at 0 K = -0.1437 eV per atom